# 1
8
Lattice="5.4720 0.3918 -0.1015 -1.6721 5.2250 -0.1015 -0.8219 -1.2149 5.3307" Properties=species:S:1:pos:R:3 comment="ZnGa6Ir | the Alexandria database | PBE-GGA | relaxed" spacegroup="C2/m (12)" delta_e_f_ev_per_atom=-0.05 crystal_system=monoclinic pbc="T T T"
Zn 0.0000 0.0000 0.0000
Ga 0.1979 0.2926 3.3926
Ga 2.9538 1.0474 0.9677
Ga 2.7800 4.1093 1.7351
Ga 3.1047 1.2704 4.1601
Ga 0.0241 3.3544 4.1601
Ga -0.1267 3.1315 0.9677
Ir 1.4890 2.2009 2.5639


# 2
4
Lattice="-3.9812 -0.7434 -0.9777 -1.5184 -3.8718 0.2497 -3.0256 -0.7941 4.0472" Properties=species:S:1:pos:R:3 comment="ZnGa2Ir | the Alexandria database | PBE-GGA | relaxed" spacegroup="R3m (160)" delta_e_f_ev_per_atom=-0.20 crystal_system=trigonal pbc="T T T"
Zn -4.3082 -2.6762 1.8237
Ga -2.7994 -0.9353 3.2334
Ga -2.0580 -1.3980 0.5663
Ir -6.6477 -3.8986 3.4026


# 3
12
Lattice="-3.5350 -0.1426 -2.4259 1.8537 -1.1825 -6.4245 -0.4312 -6.0082 0.9815" Properties=species:S:1:pos:R:3 comment="Zn2GaIr3 | the Alexandria database | PBE-GGA | relaxed" spacegroup="Cmmm (65)" delta_e_f_ev_per_atom=-0.27 crystal_system=orthorhombic pbc="T T T"
Zn 0.0000 0.0000 0.0000
Zn -0.2156 -3.0041 0.4908
Zn -0.7732 -3.4467 -2.4635
Zn -1.3394 -3.8866 -5.4054
Ga -0.5814 -0.4353 -2.9200
Ga -1.0999 -0.8899 -5.9304
Ir -2.6433 -5.0488 -3.4369
Ir -1.8753 -1.5733 -0.9676
Ir 0.5308 -2.2845 -4.4320
Ir -2.4239 -1.9915 -3.9364
Ir 0.3114 -5.3418 -3.9325
Ir -2.0909 -4.5775 -0.4768